1.
PBE-GGA SrSn3H, relaxed; energy above the most stable polymorph in this dataset = 0.00 eV per formula unit; SG = No. 221
1.0
4.9003 0.0000 0.0000
0.0000 4.9003 0.0000
0.0000 0.0000 4.9003
Sr Sn H
1 3 1
Direct
0.0000 0.0000 0.0000
0.0000 0.5000 0.5000
0.5000 0.0000 0.5000
0.5000 0.5000 0.0000
0.5000 0.5000 0.5000

2.
PBE-GGA Ac2Ga2Ni15, relaxed; SG = No. 166; E_form = -0.19 eV per atom
1.0
4.2616 2.4604 4.1724
-4.2616 2.4604 4.1724
0.0000 -4.9208 4.1724
Ac Ga Ni
2 2 15
Direct
0.1502 0.1502 0.1502
0.8498 0.8498 0.8498
0.3991 0.3991 0.3991
0.6009 0.6009 0.6009
0.0000 0.5000 0.5000
0.1611 0.1611 0.6482
0.1611 0.6482 0.1611
0.2125 0.5000 0.7875
0.2125 0.7875 0.5000
0.3518 0.8389 0.8389
0.5000 0.0000 0.5000
0.5000 0.2125 0.7875
0.5000 0.5000 0.0000
0.5000 0.7875 0.2125
0.6482 0.1611 0.1611
0.7875 0.2125 0.5000
0.7875 0.5000 0.2125
0.8389 0.3518 0.8389
0.8389 0.8389 0.3518

3.
PBE-GGA Mg6Ag12Hg, relaxed; SG = No. 148; E_form = -0.10 eV per atom
1.0
5.0540 2.9180 4.0888
-5.0540 2.9180 4.0888
0.0000 -5.8359 4.0888
Mg Ag Hg
6 12 1
Direct
0.2172 0.7790 0.6152
0.2210 0.3848 0.7828
0.3848 0.7828 0.2210
0.6152 0.2172 0.7790
0.7790 0.6152 0.2172
0.7828 0.2210 0.3848
0.0295 0.9344 0.2971
0.0656 0.7029 0.9705
0.1258 0.4706 0.3375
0.2971 0.0295 0.9344
0.3375 0.1258 0.4706
0.4706 0.3375 0.1258
0.5294 0.6625 0.8742
0.6625 0.8742 0.5294
0.7029 0.9705 0.0656
0.8742 0.5294 0.6625
0.9344 0.2971 0.0295
0.9705 0.0656 0.7029
0.5000 0.5000 0.5000

4.
PBE-GGA ErNbFe, relaxed; energy above the most stable polymorph in this dataset = 0.00 eV per formula unit; SG = No. 38; E_form = 0.02 eV per atom
1.0
4.6346 0.0000 0.0000
0.0000 5.6192 3.2532
0.0000 -5.6192 3.2532
Er Nb Fe
3 3 3
Direct
0.0000 0.0000 0.0000
0.0000 0.4146 0.8292
0.0000 0.8292 0.4146
0.5000 0.1568 0.4145
0.5000 0.4145 0.1568
0.5000 0.6725 0.6725
0.0000 0.4137 0.4137
0.5000 0.0811 0.7481
0.5000 0.7481 0.0811

5.
PBE-GGA Sm2BiP, relaxed; SG = No. 166; E_form = -1.21 eV per atom
1.0
2.1326 1.2313 7.2567
-2.1326 1.2313 7.2567
0.0000 -2.4626 7.2567
Sm Bi P
2 1 1
Direct
0.2396 0.2396 0.2396
0.7604 0.7604 0.7604
0.0000 0.0000 0.0000
0.5000 0.5000 0.5000

6.
PBE-GGA CaTaTe, relaxed; uncorrected formation energy = 0.448 eV/atom; energy above the most stable polymorph in this dataset = 2.36 eV per formula unit; SG = No. 216
1.0
0.0000 3.3950 3.3950
3.3950 0.0000 3.3950
3.3950 3.3950 0.0000
Ca Ta Te
1 1 1
Direct
0.0000 0.0000 0.0000
0.5000 0.5000 0.5000
0.2500 0.2500 0.2500